Density functional theory data (GGA+U) for Li4MnO2F2 after structural relaxation.

Values from the calculation:
D(E_F) (states/eV/atom): 0.00
Total energy (eV/cell): -97.03

abc: 5.449 5.449 6.695
angles: 90.00 90.00 98.81
Atoms (fractional coordinates):
Mn 0.375 0.375 0.250
Mn 0.625 0.625 0.750
O 0.699 0.252 0.250
O 0.301 0.748 0.750
O 0.748 0.301 0.750
O 0.252 0.699 0.250
F 0.798 0.798 0.028
F 0.202 0.202 0.528
F 0.798 0.798 0.472
F 0.202 0.202 0.972
Li 0.833 0.167 0.500
Li 0.167 0.833 0.500
Li 0.420 0.105 0.750
Li 0.833 0.167 0.000
Li 0.105 0.420 0.750
Li 0.167 0.833 0.000
Li 0.580 0.895 0.250
Li 0.895 0.580 0.250